Record 1
A plane-wave DFT calculation with PBEsol was carried out for crystalline Cu2HgOs at its relaxed geometry.

ΔE_f = 1.5 eV/f.u.
SG = R-3m (166)

Lattice parameters (Å, degrees): 8.8962 8.8962 8.8962 17.79 17.79 17.79
Fractional positions:
Cu1 0.2450 0.2450 0.2450
Cu2 0.7550 0.7550 0.7550
Hg1 0.0000 0.0000 0.0000
Os1 0.5000 0.5000 0.5000

=====

Record 2
A plane-wave DFT calculation with PBEsol was carried out for crystalline CuHg2P at its relaxed geometry.

ΔE_f = 1.5 eV/f.u.
SG = P4/mmm (123)

Lattice parameters (Å, degrees): 3.6350 3.6350 5.3939 90.00 90.00 90.00
Fractional positions:
Cu1 0.0000 0.0000 0.0000
Hg1 0.5000 0.5000 0.2472
Hg2 0.5000 0.5000 0.7528
P1 0.0000 0.0000 0.5000

=====

Record 3
A plane-wave DFT calculation with PBEsol was carried out for crystalline CuHg2P at its relaxed geometry.

ΔE_f = 1.6 eV/f.u.
SG = I-4m2 (119)

Lattice parameters (Å, degrees): 5.1410 5.1410 5.1410 133.47 133.47 67.91
Fractional positions:
Cu1 0.0000 0.0000 0.0000
Hg1 0.5000 0.5000 0.0000
Hg2 0.7500 0.2500 0.5000
P1 0.2500 0.7500 0.5000

=====

Record 4
A plane-wave DFT calculation with PBEsol was carried out for crystalline CuHgP2 at its relaxed geometry.

ΔE_f = 1.4 eV/f.u.
SG = P4/mmm (123)

Lattice parameters (Å, degrees): 2.6676 2.6676 9.6417 90.00 90.00 90.00
Fractional positions:
Cu1 0.0000 0.0000 0.0000
Hg1 0.0000 0.0000 0.5000
P1 0.5000 0.5000 0.1839
P2 0.5000 0.5000 0.8161

=====

Q: Which value of ΔE_f does entry 4 give?
A: 1.4 eV/f.u.

=====

Q: Which formula does entry 1 have?
A: Cu2HgOs